DFT (GGA+U) results for a relaxed structure of Cs2Ta3CrO12.

Summary:
E_tot = -7.9934 eV/atom
N(E_F) = 0.59 states/eV/atom

Lattice parameters (Å, degrees): 7.3061 7.3061 7.3061 61.37 61.37 61.37
Closest atoms and distances in Å follow each position.
Element x y z (fractional)
O 0.3159 0.9410 0.3159  2 Ta 1.99
O 0.3159 0.3159 0.9410  2 Ta 1.99
O 0.6841 0.0590 0.6841  2 Ta 1.99
O 0.9447 0.2912 0.9447  1 Cr 1.83, 1 Ta 2.00
O 0.0553 0.0553 0.7088  1 Cr 1.83, 1 Ta 2.00
O 0.7088 0.0553 0.0553  1 Cr 1.83, 1 Ta 2.00
O 0.6841 0.6841 0.0590  2 Ta 1.99
O 0.0590 0.6841 0.6841  2 Ta 1.99
O 0.9447 0.9447 0.2912  1 Cr 1.83, 1 Ta 2.00
O 0.0553 0.7088 0.0553  1 Cr 1.83, 1 Ta 2.00
O 0.2912 0.9447 0.9447  1 Cr 1.83, 1 Ta 2.00
O 0.9410 0.3159 0.3159  2 Ta 1.99
Cs 0.3743 0.3743 0.3743  6 O 3.24-3.34
Cs 0.6257 0.6257 0.6257  6 O 3.24-3.34
Ta 0.0000 0.0000 0.5000  6 O 1.99-2.00
Ta 0.5000 0.0000 0.0000  6 O 1.99-2.00
Ta 0.0000 0.5000 0.0000  6 O 1.99-2.00
Cr 0.0000 0.0000 0.0000  6 O 1.83